First-principles (PBE) data for crystalline CeCo4Cu at its relaxed geometry, as listed in Alexandria.

Cell: 4.9085 4.9085 4.9085 Å, 60.00 60.00 60.00°
With the nearest neighbours (Å) after each atom.
Atoms (fractional coordinates):
Ce 0.0000 0.0000 0.0000  12 Co 2.88, 4 Cu 3.01
Co 0.3758 0.3758 0.3758  6 Co 2.44-2.47
Co 0.3758 0.3758 0.8725  6 Co 2.44-2.47
Co 0.3758 0.8725 0.3758  6 Co 2.44-2.47
Co 0.8725 0.3758 0.3758  6 Co 2.44-2.47
Cu 0.7500 0.7500 0.7500  12 Co 2.88, 4 Ce 3.01

Calculated values
DFT formation energy, eV per formula unit: -0.17

First-principles (PBE) data for crystalline GaS2Cl at its relaxed geometry, as listed in Alexandria.

Cell: 4.8891 4.8891 4.8891 Å, 68.54 68.54 68.54°
With the nearest neighbours (Å) after each atom.
Atoms (fractional coordinates):
Ga 0.0000 0.0000 0.0000  2 S 2.11
S 0.1893 0.1893 0.1893  1 Ga 2.11
S 0.8107 0.8107 0.8107  1 Ga 2.11
Cl 0.5000 0.5000 0.5000  8 S 3.19-3.46

Calculated values
Formation energy (no corrections), meV per atom: 310

First-principles (PBE) data for crystalline ScCuAs2I at its relaxed geometry, as listed in Alexandria.

Cell: 4.6157 4.6157 5.6894 Å, 90.00 90.00 90.00°
With the nearest neighbours (Å) after each atom.
Atoms (fractional coordinates):
Sc 0.0000 0.0000 0.0000  4 I 3.26
Cu 0.5000 0.5000 0.5000  4 As 2.31
As 0.0000 0.5000 0.5000  2 Cu 2.31
As 0.5000 0.0000 0.5000  2 Cu 2.31
I 0.5000 0.5000 0.0000  2 Cu 2.84

Calculated values
Formation energy (no corrections), meV per atom: 241

First-principles (PBE) data for crystalline TlCuTe2 at its relaxed geometry, as listed in Alexandria.

Cell: 4.1072 7.1129 8.6643 Å, 79.05 76.32 89.97°
With the nearest neighbours (Å) after each atom.
Atoms (fractional coordinates):
Tl 0.0000 0.0000 0.0000  3 Cu 3.29-3.50, 6 Te 3.40-3.57
Tl 0.1607 0.4678 0.6789  3 Te 3.31
Cu 0.3392 0.0787 0.3165  4 Te 2.57-2.60
Cu 0.9040 0.5503 0.1903  4 Te 2.64-2.66
Te 0.3479 0.7171 0.3025  3 Cu 2.60-2.64
Te 0.4585 0.3734 0.0817  3 Cu 2.58-2.66
Te 0.6227 0.8046 0.7536  1 Te 2.80
Te 0.7519 0.1152 0.4923  2 Cu 2.57-2.58, 1 Te 2.80

Calculated values
Formation energy (no corrections), meV per atom: -107

First-principles (PBE) data for crystalline Cr2HgBr at its relaxed geometry, as listed in Alexandria.

Cell: 4.9378 4.9378 3.4518 Å, 90.00 90.00 90.54°
With the nearest neighbours (Å) after each atom.
Atoms (fractional coordinates):
Cr 0.0000 0.5000 0.0000  4 Hg 3.01, 4 Br 3.01
Cr 0.5000 0.0000 0.0000  4 Hg 3.01, 4 Br 3.01
Hg 0.0000 0.0000 0.5000  8 Cr 3.01
Br 0.5000 0.5000 0.5000  8 Cr 3.01

Calculated values
Formation energy (no corrections), meV per atom: 588

First-principles (PBE) data for crystalline Ho3HgRh8 at its relaxed geometry, as listed in Alexandria.

Cell: 9.2202 9.2202 9.2202 Å, 33.36 33.36 33.36°
With the nearest neighbours (Å) after each atom.
Atoms (fractional coordinates):
Ho 0.0000 0.0000 0.0000  12 Rh 3.02-3.18, 3 Hg 3.19, 1 Ho 3.37
Ho 0.1292 0.1292 0.1292  12 Rh 3.10-3.12, 4 Ho 3.30-3.37
Ho 0.5105 0.5105 0.5105  12 Rh 3.03-3.24, 1 Hg 3.17, 3 Ho 3.30
Hg 0.6320 0.6320 0.6320  12 Rh 3.08-3.15, 4 Ho 3.17-3.19
Rh 0.0674 0.0674 0.5656  6 Rh 2.64-2.66
Rh 0.0674 0.5656 0.0674  6 Rh 2.64-2.66
Rh 0.0683 0.5674 0.5674  6 Rh 2.64-2.67
Rh 0.3171 0.3171 0.3171  6 Rh 2.66-2.67
Rh 0.5656 0.0674 0.0674  6 Rh 2.64-2.66
Rh 0.5674 0.0683 0.5674  6 Rh 2.64-2.67
Rh 0.5674 0.5674 0.0683  6 Rh 2.64-2.67
Rh 0.8171 0.8171 0.8171  6 Rh 2.65

Calculated values
DFT formation energy, eV per formula unit: -6.84